Here is an optimized crystal structure of CuOsW2 from the Alexandria database. Energies are from PBE-GGA.

a = 5.1172 Å, b = 5.1172 Å, c = 5.1172 Å
α = 144.20°, β = 129.49°, γ = 63.44°
Positions (direct):
Cu  0.5001  0.5001  0.0000
Os  0.2459  0.7459  0.5000
W  0.9992  0.9992  0.0000
W  0.7548  0.2548  0.5000

Calculated values
The formation energy is 345 meV per atom. The space-group type is Imm2 (44).

***

Here is an optimized crystal structure of NaCaMnMo2 from the Alexandria database. Energies are from PBE-GGA.

a = 4.4969 Å, b = 5.3558 Å, c = 4.4969 Å
α = 90.00°, β = 90.00°, γ = 90.00°
Positions (direct):
Na  0.0000  0.5000  0.0000
Mo  0.0000  0.0000  0.5000
Mo  0.5000  0.0000  0.0000
Mn  0.0000  0.0000  0.0000
Ca  0.5000  0.5000  0.5000

Calculated values
The formation energy is 975 meV per atom. The space-group type is P4/mmm (123).

***

Here is an optimized crystal structure of BiTe3Cl from the Alexandria database. Energies are from PBE-GGA.

a = 5.4150 Å, b = 5.4150 Å, c = 5.4150 Å
α = 90.00°, β = 90.00°, γ = 90.00°
Positions (direct):
Te  0.0000  0.5000  0.0000
Te  0.0000  0.0000  0.5000
Te  0.5000  0.0000  0.0000
Bi  0.5000  0.5000  0.5000
Cl  0.0000  0.0000  0.0000

Calculated values
Its energy is -2.427 eV per atom. The space-group type is Pm-3m (221).

***

Here is an optimized crystal structure of PuPtRh3 from the Alexandria database. Energies are from PBE-GGA.

a = 7.7822 Å, b = 6.4662 Å, c = 6.4662 Å
α = 84.06°, β = 53.00°, γ = 53.00°
Last column: magnetic moment on the atom in μB.
Positions (direct):
Pu  0.0000  0.2712  0.7288  4.61
Pu  0.0000  0.7288  0.2712  4.61
Pt  0.2690  0.7310  0.7310  -0.24
Pt  0.7310  0.2690  0.2690  -0.24
Rh  0.5000  0.7799  0.2201  -0.60
Rh  0.5000  0.2201  0.7799  -0.60
Rh  0.9201  0.7539  0.7539  -0.64
Rh  0.4279  0.2461  0.2461  -0.64
Rh  0.0799  0.2461  0.2461  -0.64
Rh  0.5721  0.7539  0.7539  -0.64

Calculated values
The formation energy is 38 meV per atom. The space-group type is Immm (71).

***

Here is an optimized crystal structure of Y2ErSn from the Alexandria database. Energies are from PBE-GGA.

a = 3.5742 Å, b = 3.5742 Å, c = 9.2540 Å
α = 90.00°, β = 90.00°, γ = 90.00°
Positions (direct):
Y  0.0000  0.0000  0.7726
Y  0.0000  0.0000  0.2274
Sn  0.5000  0.5000  0.0000
Er  0.5000  0.5000  0.5000

Calculated values
The formation energy is -313 meV per atom. The space-group type is P4/mmm (123).

***

Here is an optimized crystal structure of PaNiRuAu from the Alexandria database. Energies are from PBE-GGA.

a = 4.6141 Å, b = 4.6141 Å, c = 4.6141 Å
α = 60.00°, β = 60.00°, γ = 60.00°
Positions (direct):
Ru  0.2500  0.2500  0.2500
Pa  0.5000  0.5000  0.5000
Au  0.0000  0.0000  0.0000
Ni  0.7500  0.7500  0.7500

Calculated values
The formation energy is -235 meV per atom. The space-group type is F-43m (216).

***

Here is an optimized crystal structure of GdMgBi2 from the Alexandria database. Energies are from PBE-GGA.

a = 4.5574 Å, b = 4.5574 Å, c = 7.3894 Å
α = 72.04°, β = 72.04°, γ = 60.00°
Last column: magnetic moment on the atom in μB.
Positions (direct):
Mg  0.0000  0.0000  0.0000  -0.01
Gd  0.5000  0.5000  0.5000  6.95
Bi  0.2543  0.2543  0.2372  -0.06
Bi  0.7457  0.7457  0.7628  -0.06

Calculated values
The formation energy is -400 meV per atom. The space-group type is R-3m (166).

***

Here is an optimized crystal structure of Mn2TlI6 from the Alexandria database. Energies are from PBE-GGA.

a = 7.5030 Å, b = 10.6006 Å, c = 10.6006 Å
α = 85.77°, β = 80.70°, γ = 80.70°
Last column: magnetic moment on the atom in μB.
Positions (direct):
Mn  0.2412  0.6236  0.7780  4.06
Mn  0.2588  0.2220  0.3764  4.06
Mn  0.7588  0.3764  0.2220  4.06
Mn  0.7412  0.7780  0.6236  4.06
Tl  0.2500  0.1225  0.8775  0.01
Tl  0.7500  0.8775  0.1225  0.01
I  0.4289  0.7226  0.5633  0.03
I  0.0711  0.4367  0.2774  0.03
I  0.5711  0.2774  0.4367  0.03
I  0.9289  0.5633  0.7226  0.03
I  0.9284  0.8389  0.4055  -0.01
I  0.5716  0.5945  0.1611  -0.01
I  0.0716  0.1611  0.5945  -0.01
I  0.4284  0.4055  0.8389  -0.01
I  0.1945  0.7881  0.9581  -0.01
I  0.3055  0.0419  0.2119  -0.01
I  0.8055  0.2119  0.0419  -0.01
I  0.6945  0.9581  0.7881  -0.01

Calculated values
Its energy is -3.731 eV per atom. The space-group type is C2/c (15).

***

Here is an optimized crystal structure of BaBiAu from the Alexandria database. Energies are from PBE-GGA.

a = 4.9425 Å, b = 4.9425 Å, c = 7.9758 Å
α = 90.00°, β = 90.00°, γ = 90.00°
Positions (direct):
Au  0.0000  0.5000  0.7885
Au  0.5000  0.0000  0.2115
Bi  0.0000  0.5000  0.1503
Bi  0.5000  0.0000  0.8497
Ba  0.0000  0.0000  0.5000
Ba  0.5000  0.5000  0.5000

Calculated values
The formation energy is -198 meV per atom. The space-group type is P4/nmm (129).

***

Here is an optimized crystal structure of ErSc3Cd from the Alexandria database. Energies are from PBE-GGA.

a = 3.4181 Å, b = 6.3338 Å, c = 12.0069 Å
α = 86.23°, β = 90.00°, γ = 74.35°
Last column: magnetic moment on the atom in μB.
Positions (direct):
Er  0.2381  0.5238  0.7622  0.14
Er  0.7619  0.4762  0.2378  0.14
Sc  0.1493  0.7014  0.4427  0.29
Sc  0.3667  0.2666  0.0185  0.04
Sc  0.0314  0.9373  0.1828  0.15
Sc  0.8507  0.2986  0.5573  0.29
Sc  0.9686  0.0627  0.8172  0.15
Sc  0.6333  0.7334  0.9815  0.04
Cd  0.5562  0.8875  0.6248  0.00
Cd  0.4438  0.1125  0.3752  0.00

Calculated values
The formation energy is -88 meV per atom. The space-group type is C2/m (12).

***

Here is an optimized crystal structure of Y2MnBr from the Alexandria database. Energies are from PBE-GGA.

a = 3.4936 Å, b = 3.5861 Å, c = 8.4274 Å
α = 90.08°, β = 90.00°, γ = 90.00°
Last column: magnetic moment on the atom in μB.
Positions (direct):
Br  0.5000  0.2500  0.2500  -0.01
Mn  0.5000  0.7500  0.7500  3.15
Y  0.0000  0.2508  0.9547  -0.24
Y  0.0000  0.2492  0.5453  -0.24

Calculated values
Its energy is -6.360 eV per atom. The space-group type is P2/m (10).

***

Here is an optimized crystal structure of Ga3CuI from the Alexandria database. Energies are from PBE-GGA.

a = 4.9199 Å, b = 4.9199 Å, c = 4.9199 Å
α = 90.00°, β = 90.00°, γ = 90.00°
Positions (direct):
I  0.5000  0.5000  0.5000
Cu  0.0000  0.0000  0.0000
Ga  0.0000  0.5000  0.0000
Ga  0.0000  0.0000  0.5000
Ga  0.5000  0.0000  0.0000

Calculated values
Its energy is -2.973 eV per atom. The space-group type is Pm-3m (221).